VASP calculation (PBE) on Tb5Pr7 after structural relaxation.

The structure belongs to space group C2/m (No. 12); the cell edges are 19.018, 3.673 and 13.422 Å and the angles 90.00°, 118.16° and 90.00°. The inequivalent atoms are Tb at (0.000, 0.000, 0.000), Tb at (0.168, 0.000, 0.503), Tb at (0.194, 0.500, 0.748), Pr at (0.000, 0.500, 0.500), Pr at (0.028, 0.000, 0.750), Pr at (0.140, 0.500, 0.252) and Pr at (0.167, 0.500, 0.003).

For the total energy, the calculation gives -113.0 eV per cell. As for the formation enthalpy at 0 K: 0.009 eV/atom. The relative energy among the computed polymorphs is 0.00 eV per formula unit.